w) Density functional theory data (PBE-GGA) for TlS2NCl after structural relaxation.

POSCAR file:
```
TlS2NCl
1.0
5.3850 0.0000 0.0000
0.0000 5.3850 0.0000
0.0000 0.0000 4.5196
Tl S N Cl
1 2 1 1
Direct
0.0000 0.0000 0.0000
0.0000 0.5000 0.0000
0.5000 0.0000 0.0000
0.0000 0.0000 0.5000
0.5000 0.5000 0.5000
```

## Properties
density of states at the Fermi level = 2.078 states/eV per cell

***

x) Density functional theory data (PBE-GGA) for TlS2NCl after structural relaxation.

POSCAR file:
```
TlS2NCl
1.0
4.0204 0.0000 0.0000
0.0000 4.0204 0.0000
0.0000 0.0000 7.1917
Tl S N Cl
1 2 1 1
Direct
0.0000 0.0000 0.0000
0.0000 0.5000 0.5000
0.5000 0.0000 0.5000
0.5000 0.5000 0.5000
0.5000 0.5000 0.0000
```

## Properties
density of states at the Fermi level = 2.165 states/eV per cell

***

Least stable = w)

***

w) Density functional theory data (PBE-GGA) for TlSNCl2 after structural relaxation.

POSCAR file:
```
TlSNCl2
1.0
5.3773 0.0000 0.0000
0.0000 5.3773 0.0000
0.0000 0.0000 5.3045
Tl S N Cl
1 1 1 2
Direct
0.0000 0.0000 0.0000
0.0000 0.0000 0.5000
0.5000 0.5000 0.5000
0.0000 0.5000 0.0000
0.5000 0.0000 0.0000
```

## Properties
density of states at the Fermi level = 3.887 states/eV per cell

***

x) Density functional theory data (PBE-GGA) for TlSNCl2 after structural relaxation.

POSCAR file:
```
TlSNCl2
1.0
5.6212 0.0000 0.0000
0.0000 5.6212 0.0000
0.0000 0.0000 4.0686
Tl S N Cl
1 1 1 2
Direct
0.0000 0.0000 0.0000
0.5000 0.5000 0.5000
0.0000 0.0000 0.5000
0.0000 0.5000 0.0000
0.5000 0.0000 0.0000
```

## Properties
density of states at the Fermi level = 6.043 states/eV per cell

***

y) Density functional theory data (PBE-GGA) for TlSNCl2 after structural relaxation.

POSCAR file:
```
TlSNCl2
1.0
6.1510 0.0000 0.0000
0.0000 6.1510 0.0000
0.0000 0.0000 3.3306
Tl S N Cl
1 1 1 2
Direct
0.0000 0.0000 0.0000
0.5000 0.5000 0.0000
0.5000 0.5000 0.5000
0.0000 0.5000 0.5000
0.5000 0.0000 0.5000
```

## Properties
density of states at the Fermi level = 3.717 states/eV per cell

***

Least stable = x)

***

w) Density functional theory data (PBE-GGA) for VSN2Cl after structural relaxation.

POSCAR file:
```
VSN2Cl
1.0
3.7049 0.0000 0.0000
0.0000 3.7049 0.0000
0.0000 0.0000 5.3089
V S N Cl
1 1 2 1
Direct
0.0000 0.0000 0.0000
0.0000 0.0000 0.5000
0.0000 0.5000 0.0000
0.5000 0.0000 0.0000
0.5000 0.5000 0.5000
```

## Properties
density of states at the Fermi level = 2.574 states/eV per cell

***

x) Density functional theory data (PBE-GGA) for VSN2Cl after structural relaxation.

POSCAR file:
```
VSN2Cl
1.0
3.8107 0.0000 0.0000
0.0000 3.8107 0.0000
0.0000 0.0000 4.5166
V S N Cl
1 1 2 1
Direct
0.0000 0.0000 0.0000
0.5000 0.5000 0.0000
0.0000 0.5000 0.5000
0.5000 0.0000 0.5000
0.5000 0.5000 0.5000
```

## Properties
density of states at the Fermi level = 3.879 states/eV per cell

***

Least stable = x)

***

w) Density functional theory data (PBE-GGA) for WS2NCl after structural relaxation.

POSCAR file:
```
WS2NCl
1.0
4.1537 0.0000 0.0000
0.0000 4.1537 0.0000
0.0000 0.0000 3.9589
W S N Cl
1 2 1 1
Direct
0.0000 0.0000 0.0000
0.0000 0.5000 0.5000
0.5000 0.0000 0.5000
0.5000 0.5000 0.5000
0.5000 0.5000 0.0000
```

## Properties
density of states at the Fermi level = 3.403 states/eV per cell

***

x) Density functional theory data (PBE-GGA) for WS2NCl after structural relaxation.

POSCAR file:
```
WS2NCl
1.0
4.7740 0.0000 0.0000
0.0000 4.7740 0.0000
0.0000 0.0000 3.8849
W S N Cl
1 2 1 1
Direct
0.0000 0.0000 0.0000
0.0000 0.5000 0.0000
0.5000 0.0000 0.0000
0.0000 0.0000 0.5000
0.5000 0.5000 0.5000
```

## Properties
density of states at the Fermi level = 6.110 states/eV per cell

***

Least stable = w)

***

w) Density functional theory data (PBE-GGA) for WS2NCl after structural relaxation.

POSCAR file:
```
WS2NCl
1.0
4.6491 0.0000 0.0000
0.0000 4.6491 0.0000
0.0000 0.0000 4.9199
W S N Cl
1 2 1 1
Direct
0.0000 0.0000 0.0000
0.0000 0.5000 0.0000
0.5000 0.0000 0.0000
0.5000 0.5000 0.5000
0.0000 0.0000 0.5000
```

## Properties
density of states at the Fermi level = 3.695 states/eV per cell

***

x) Density functional theory data (PBE-GGA) for WS2NCl after structural relaxation.

POSCAR file:
```
WS2NCl
1.0
4.7129 0.0000 0.0000
0.0000 4.7129 0.0000
0.0000 0.0000 3.2729
W S N Cl
1 2 1 1
Direct
0.0000 0.0000 0.0000
0.0000 0.5000 0.5000
0.5000 0.0000 0.5000
0.5000 0.5000 0.0000
0.5000 0.5000 0.5000
```

## Properties
density of states at the Fermi level = 3.026 states/eV per cell

***

Least stable = x)

***

w) Density functional theory data (PBE-GGA) for YS2NCl after structural relaxation.

POSCAR file:
```
YS2NCl
1.0
4.6211 0.0000 0.0000
0.0000 4.6211 0.0000
0.0000 0.0000 4.0509
Y S N Cl
1 2 1 1
Direct
0.0000 0.0000 0.0000
0.0000 0.5000 0.5000
0.5000 0.0000 0.5000
0.5000 0.5000 0.0000
0.5000 0.5000 0.5000
```

## Properties
density of states at the Fermi level = 3.889 states/eV per cell

***

x) Density functional theory data (PBE-GGA) for YS2NCl after structural relaxation.

POSCAR file:
```
YS2NCl
1.0
5.4561 0.0000 0.0000
0.0000 5.4561 0.0000
0.0000 0.0000 4.4052
Y S N Cl
1 2 1 1
Direct
0.0000 0.0000 0.0000
0.0000 0.5000 0.0000
0.5000 0.0000 0.0000
0.0000 0.0000 0.5000
0.5000 0.5000 0.5000
```

## Properties
density of states at the Fermi level = 7.837 states/eV per cell

***

y) Density functional theory data (PBE-GGA) for YS2NCl after structural relaxation.

POSCAR file:
```
YS2NCl
1.0
4.4463 0.0000 0.0000
0.0000 4.4463 0.0000
0.0000 0.0000 4.1605
Y S N Cl
1 2 1 1
Direct
0.0000 0.0000 0.0000
0.0000 0.5000 0.5000
0.5000 0.0000 0.5000
0.5000 0.5000 0.5000
0.5000 0.5000 0.0000
```

## Properties
density of states at the Fermi level = 0.214 states/eV per cell

***

Least stable = x)

***

w) Density functional theory data (PBE-GGA) for ZnS2NCl after structural relaxation.

POSCAR file:
```
ZnS2NCl
1.0
4.2062 0.0000 0.0000
0.0000 4.2062 0.0000
0.0000 0.0000 4.3051
Zn S N Cl
1 2 1 1
Direct
0.0000 0.0000 0.0000
0.0000 0.5000 0.5000
0.5000 0.0000 0.5000
0.5000 0.5000 0.5000
0.5000 0.5000 0.0000
```

## Properties
density of states at the Fermi level = 1.106 states/eV per cell

***

x) Density functional theory data (PBE-GGA) for ZnS2NCl after structural relaxation.

POSCAR file:
```
ZnS2NCl
1.0
4.9118 0.0000 0.0000
0.0000 4.9118 0.0000
0.0000 0.0000 3.8501
Zn S N Cl
1 2 1 1
Direct
0.0000 0.0000 0.0000
0.0000 0.5000 0.0000
0.5000 0.0000 0.0000
0.0000 0.0000 0.5000
0.5000 0.5000 0.5000
```

## Properties
density of states at the Fermi level = 6.495 states/eV per cell

***

y) Density functional theory data (PBE-GGA) for ZnS2NCl after structural relaxation.

POSCAR file:
```
ZnS2NCl
1.0
4.7716 0.0000 0.0000
0.0000 4.7716 0.0000
0.0000 0.0000 5.1095
Zn S N Cl
1 2 1 1
Direct
0.0000 0.0000 0.0000
0.0000 0.5000 0.0000
0.5000 0.0000 0.0000
0.5000 0.5000 0.5000
0.0000 0.0000 0.5000
```

## Properties
density of states at the Fermi level = 3.877 states/eV per cell

***

Least stable = y)